No. 1
Entry from Alexandria: La6DyTm12 after structural relaxation (PBE-GGA).

```
19
Lattice="-3.282 4.675 -7.520 -4.752 -8.080 1.145 -0.749 5.349 7.746" Properties=species:S:1:pos:R:3 pbc="T T T"
Tm -2.738 -0.269 2.207
Tm -3.971 4.623 -1.794
La -2.670 3.062 -4.609
La -6.112 -1.118 5.981
Tm -6.371 -0.613 1.084
Tm -2.412 2.557 0.287
La -3.590 -4.920 0.813
La -5.192 6.864 0.559
Tm -5.537 -2.871 -1.204
Dy 0.000 0.000 0.000
Tm -3.299 -0.418 -1.175
Tm -5.484 2.362 2.547
Tm -3.666 1.165 5.055
Tm -4.812 -2.678 3.166
Tm -6.045 2.213 -0.836
Tm -3.246 4.815 2.575
La -7.698 -1.539 -3.572
La -1.085 3.483 4.944
Tm -5.116 0.779 -3.683
```

As for the formation enthalpy at 0 K: 0.254 eV/atom. Its volume is 630 Å³ per cell. The value obtained for the uncorrected energy is -4.368 eV/atom.

***

No. 2
Entry from Alexandria: La3DyTm6 after structural relaxation (PBE-GGA).

```
10
Lattice="8.721 0.000 4.628 3.133 8.139 4.628 2.232 1.533 6.325" Properties=species:S:1:pos:R:3 pbc="T T T"
Tm 6.568 2.510 5.314
La 6.271 4.306 9.247
La 2.758 1.894 5.334
La 7.551 5.184 6.835
Tm 10.407 5.228 8.342
Tm 7.733 7.381 10.007
Dy 11.081 7.609 10.714
Tm 8.621 1.849 8.462
Tm 5.705 7.834 6.796
Tm 3.738 4.565 6.861
```

As for the formation enthalpy at 0 K: 0.308 eV/atom. Its volume is 325 Å³ per cell. The calculation puts the energy relative to the lowest polymorph listed for this composition at 171 meV per atom. The value obtained for the uncorrected energy is -4.313 eV/atom.

***

No. 3
Entry from Alexandria: LaDy12Tm6 after structural relaxation (PBE-GGA).

```
19
Lattice="-3.198 8.577 -1.271 -5.468 -4.107 6.216 8.420 0.704 3.745" Properties=species:S:1:pos:R:3 pbc="T T T"
Dy 4.392 -0.473 6.295
Tm -3.736 3.279 4.422
Dy -0.858 5.131 5.165
Dy 1.700 3.397 6.270
Tm 2.146 5.317 3.375
Dy 0.612 0.043 3.525
Dy -1.358 2.337 6.814
Tm 3.490 1.895 4.268
Dy -1.946 1.777 2.421
Dy -1.005 -2.343 7.255
Dy -4.638 5.647 2.396
Tm 1.184 -0.056 6.547
Dy 5.274 4.457 3.385
Dy 1.112 2.837 1.876
Dy 0.759 7.517 1.435
Tm -1.430 5.229 2.144
Dy -5.520 0.717 5.306
La 0.000 0.000 0.000
Tm -2.392 -0.143 5.315
```

As for the formation enthalpy at 0 K: 0.423 eV/atom. Its volume is 649 Å³ per cell. The calculation puts the energy relative to the lowest polymorph listed for this composition at 268 meV per atom. The value obtained for the uncorrected energy is -4.155 eV/atom.

***

No. 4
Entry from Alexandria: La2Dy4Tm3 after structural relaxation (PBE-GGA).

```
9
Lattice="6.684 -0.926 -1.391 -3.837 5.550 -1.391 0.483 0.785 8.488" Properties=species:S:1:pos:R:3 pbc="T T T"
Tm -1.919 2.775 -0.696
La 1.863 3.027 0.247
Tm 3.342 -0.463 -0.696
Dy 4.137 3.313 3.050
Dy 1.095 5.186 3.050
La 1.466 2.382 5.459
Dy -0.808 2.096 2.656
Tm 0.000 0.000 0.000
Dy 2.235 0.223 2.656
```

As for the formation enthalpy at 0 K: 0.176 eV/atom. Its volume is 301 Å³ per cell. The calculation puts the energy relative to the lowest polymorph listed for this composition at 128 meV per atom. The value obtained for the uncorrected energy is -4.455 eV/atom.

***

No. 5
Entry from Alexandria: LaDyTm after structural relaxation (PBE-GGA).

```
3
Lattice="-2.191 -2.691 -0.988 2.824 -1.812 -1.328 0.722 -1.068 7.895" Properties=species:S:1:pos:R:3 pbc="T T T"
Tm 0.656 -3.336 1.044
Dy 0.008 -0.025 0.051
La 0.691 -2.210 4.484
```

As for the formation enthalpy at 0 K: 0.035 eV/atom. Its volume is 99 Å³ per cell. The calculation puts the energy relative to the lowest polymorph listed for this composition at 0 meV per atom. The value obtained for the uncorrected energy is -4.632 eV/atom.

***

No. 6
Entry from Alexandria: LaDy4Tm after structural relaxation (PBE-GGA).

```
6
Lattice="3.421 0.238 0.001 -0.403 5.770 0.001 -0.002 -0.002 10.040" Properties=species:S:1:pos:R:3 pbc="T T T"
Dy 3.209 3.130 3.082
Dy 3.209 3.129 6.999
Dy 1.699 0.125 8.226
La 3.410 0.244 5.040
Dy 1.700 0.126 1.852
Tm 1.499 3.011 0.019
```

As for the formation enthalpy at 0 K: 0.199 eV/atom. Its volume is 199 Å³ per cell. The calculation puts the energy relative to the lowest polymorph listed for this composition at 0 meV per atom. The value obtained for the uncorrected energy is -4.435 eV/atom.

***

No. 7
Entry from Alexandria: La14DyTm after structural relaxation (PBE-GGA).

```
16
Lattice="7.311 0.986 0.000 -0.976 7.312 0.000 0.000 0.000 10.515" Properties=species:S:1:pos:R:3 pbc="T T T"
La 0.551 2.870 7.908
Tm 2.131 4.940 0.000
La 2.617 1.281 0.000
La 0.551 2.870 2.607
La 0.066 6.517 2.607
La 4.198 3.363 7.916
La 4.198 3.363 2.599
La 3.712 7.010 2.607
La 5.789 5.436 0.000
La 0.066 6.517 7.908
La 2.131 4.941 5.258
La 6.276 1.776 5.258
La 5.784 5.429 5.258
La 2.623 1.288 5.258
La 3.712 7.010 7.908
Dy 6.275 1.777 0.000
```

As for the formation enthalpy at 0 K: 0.010 eV/atom. Its volume is 572 Å³ per cell. The value obtained for the uncorrected energy is -4.869 eV/atom.

***

No. 8
Entry from Alexandria: La7DyTm12 after structural relaxation (PBE-GGA).

```
20
Lattice="9.207 0.000 -3.255 -4.603 7.973 -3.255 0.000 0.000 9.765" Properties=species:S:1:pos:R:3 pbc="T T T"
Tm 2.347 7.967 -3.319
Tm 2.256 0.006 6.574
Dy 0.000 0.000 0.000
La 4.603 0.000 -1.628
Tm 3.480 6.016 0.064
Tm 5.824 1.957 -3.250
Tm 1.217 6.022 3.250
Tm 3.386 1.951 0.005
Tm 1.123 1.957 3.191
La -2.302 3.987 3.255
Tm -1.221 6.016 6.505
La -2.302 3.987 -1.628
La 0.000 0.000 4.883
La 2.302 3.987 -3.255
Tm 0.004 3.908 -0.005
La 2.302 3.987 1.628
Tm 4.600 4.065 3.260
Tm 8.073 1.951 3.319
Tm -3.470 6.022 -0.064
La 4.603 0.000 3.255
```

As for the formation enthalpy at 0 K: 0.648 eV/atom. Its volume is 717 Å³ per cell. The value obtained for the uncorrected energy is -3.990 eV/atom.

***

No. 9
Entry from Alexandria: La8Dy3Tm3 after structural relaxation (PBE-GGA).

```
14
Lattice="-3.561 -1.666 4.106 5.351 -0.965 8.183 -5.591 7.763 2.236" Properties=species:S:1:pos:R:3 pbc="T T T"
Dy -3.677 6.237 3.276
La -3.895 5.903 6.887
La -1.823 2.960 3.555
La 1.138 1.889 9.622
Tm -2.897 0.027 5.369
La -4.309 4.033 9.703
Dy 3.437 0.562 7.143
La -4.938 3.244 4.903
La 0.509 1.100 4.822
La 0.095 -0.771 7.639
La -1.977 2.172 10.971
Tm -0.904 5.106 9.157
Tm -1.900 2.566 7.263
Dy -1.780 -0.833 2.053
```

As for the formation enthalpy at 0 K: 0.100 eV/atom. Its volume is 478 Å³ per cell. The value obtained for the uncorrected energy is -4.660 eV/atom.

***

No. 10
Entry from Alexandria: La3Dy2Tm after structural relaxation (PBE-GGA).

```
6
Lattice="3.469 0.000 0.000 0.000 6.032 0.000 -1.735 -3.016 9.854" Properties=species:S:1:pos:R:3 pbc="T T T"
La 1.735 3.016 6.175
Dy 1.735 3.016 2.700
La 0.000 3.016 0.000
Dy 0.000 0.000 7.154
Tm 0.000 0.000 0.000
La 0.000 0.000 3.679
```

As for the formation enthalpy at 0 K: 0.333 eV/atom. Its volume is 206 Å³ per cell. The calculation puts the energy relative to the lowest polymorph listed for this composition at 259 meV per atom. The value obtained for the uncorrected energy is -4.410 eV/atom.

***

No. 11
Entry from Alexandria: La5Dy2Tm6 after structural relaxation (PBE-GGA).

```
26
Lattice="-2.237 -2.831 0.107 8.139 -6.225 5.494 -7.327 6.478 18.195" Properties=species:S:1:pos:R:3 pbc="T T T"
Dy 0.287 0.402 16.631
La -1.986 -0.356 9.928
La -2.168 -0.413 4.645
Tm -0.710 1.052 12.992
La -4.782 1.824 9.151
Dy 0.525 -0.148 7.058
La 5.044 -6.087 5.323
La 0.561 -2.221 13.868
Dy -4.364 4.029 15.328
Tm 2.879 -1.650 16.548
Tm -4.363 1.625 12.671
Tm 2.937 -4.203 11.125
La -6.469 3.509 18.473
Tm 0.900 0.115 21.847
Tm 3.745 -2.750 5.562
Tm -1.906 -0.061 19.425
Tm -2.933 3.003 18.127
Tm -2.067 1.903 7.141
La 0.743 -2.165 19.151
La 2.951 -4.528 2.801
Tm 0.481 -2.517 4.371
La -3.019 0.676 15.640
Tm 1.523 -0.799 10.697
Tm -0.088 0.139 1.842
Dy 5.177 -3.775 8.361
La 1.594 -3.253 8.156
```

As for the formation enthalpy at 0 K: 0.100 eV/atom. Its volume is 867 Å³ per cell. The value obtained for the uncorrected energy is -4.567 eV/atom.

***

No. 12
Entry from Alexandria: LaDy2Tm3 after structural relaxation (PBE-GGA).

```
12
Lattice="3.575 0.000 0.000 -1.787 9.254 0.000 0.000 0.000 11.523" Properties=species:S:1:pos:R:3 pbc="T T T"
Tm 0.000 6.194 5.701
Tm 1.787 3.060 5.822
Tm 1.787 3.060 11.463
Dy 0.000 0.000 5.761
Tm 1.787 7.251 2.881
Dy 0.000 0.000 0.000
Dy 0.000 8.252 8.642
La 1.787 5.157 8.642
Tm 0.000 2.003 8.642
Tm 0.000 6.194 0.060
Dy 1.787 1.001 2.881
La 0.000 4.096 2.881
```

As for the formation enthalpy at 0 K: 0.027 eV/atom. Its volume is 381 Å³ per cell. The calculation puts the energy relative to the lowest polymorph listed for this composition at 9 meV per atom. The value obtained for the uncorrected energy is -4.564 eV/atom.

***

No. 13
Entry from Alexandria: La2Dy5Tm6 after structural relaxation (PBE-GGA).

```
26
Lattice="3.564 0.000 0.000 0.000 11.666 0.000 0.000 0.000 20.169" Properties=species:S:1:pos:R:3 pbc="T T T"
Tm 0.000 4.945 17.401
Dy 1.782 4.724 14.487
Dy 1.782 5.833 0.000
Dy 1.782 9.328 1.052
Tm 1.782 7.955 17.716
Dy 1.782 6.942 5.682
Tm 1.782 2.122 12.537
Dy 1.782 8.171 11.137
Tm 0.000 0.702 1.522
La 0.000 1.946 15.712
Dy 1.782 3.495 9.032
Tm 0.000 5.131 11.606
La 0.000 3.887 5.627
Tm 0.000 6.535 8.562
Tm 1.782 3.711 2.453
Tm 1.782 9.544 7.632
Dy 1.782 0.000 10.084
Dy 1.782 2.338 19.116
La 0.000 7.779 14.541
Dy 1.782 1.109 4.403
Tm 0.000 6.720 2.768
Tm 0.000 0.887 7.317
Tm 0.000 10.964 18.647
Dy 1.782 10.556 15.766
Tm 0.000 10.778 12.852
La 0.000 9.720 4.457
```

As for the formation enthalpy at 0 K: 0.104 eV/atom. Its volume is 838 Å³ per cell. The value obtained for the uncorrected energy is -4.488 eV/atom.

***

No. 14
Entry from Alexandria: LaDy6Tm4 after structural relaxation (PBE-GGA).

```
11
Lattice="-5.316 -5.088 -1.933 3.786 -1.515 -6.424 4.122 -1.376 7.260" Properties=species:S:1:pos:R:3 pbc="T T T"
Tm 0.277 -1.783 -0.857
Tm -0.261 -5.166 4.130
Dy 1.893 -0.758 -3.212
Tm -0.764 -6.275 -6.541
Dy 1.717 -4.544 -0.135
La -0.765 -3.302 -4.178
Dy -1.743 -5.942 -1.913
Dy -2.658 -2.544 -0.966
Dy 2.471 -1.292 3.980
Tm 5.931 -2.736 1.075
Dy 2.739 -4.182 -4.124
```

As for the formation enthalpy at 0 K: 0.426 eV/atom. Its volume is 378 Å³ per cell. The calculation puts the energy relative to the lowest polymorph listed for this composition at 303 meV per atom. The value obtained for the uncorrected energy is -4.158 eV/atom.

***

No. 15
Entry from Alexandria: LaDy2Tm2 after structural relaxation (PBE-GGA).

```
5
Lattice="-0.504 0.003 -3.523 -0.637 -3.501 0.088 -11.719 4.029 3.478" Properties=species:S:1:pos:R:3 pbc="T T T"
Dy -3.139 -1.272 -1.350
Dy -9.721 1.804 1.393
La 0.000 0.000 0.000
Tm -7.900 -0.389 -0.667
Tm -4.959 0.920 0.711
```

As for the formation enthalpy at 0 K: 0.033 eV/atom. Its volume is 160 Å³ per cell. The calculation puts the energy relative to the lowest polymorph listed for this composition at 0 meV per atom. The value obtained for the uncorrected energy is -4.582 eV/atom.

***

No. 16
Entry from Alexandria: LaDy2Tm9 after structural relaxation (PBE-GGA).

```
12
Lattice="-0.761 -1.288 4.747 -0.397 -4.771 -1.358 14.728 -1.761 1.882" Properties=species:S:1:pos:R:3 pbc="T T T"
Tm 9.203 -4.199 2.944
Tm 6.984 -1.525 3.314
Tm -0.579 -3.030 1.694
La 0.000 0.000 0.000
Dy 4.925 -0.589 0.629
Dy 9.803 -1.172 1.253
Tm 4.367 -3.621 2.326
Tm 12.013 -3.846 0.881
Tm 2.318 -2.687 -0.357
Tm 7.165 -3.266 0.262
Tm 2.136 -0.945 2.695
Tm 11.831 -2.104 3.934
```

As for the formation enthalpy at 0 K: 0.032 eV/atom. Its volume is 370 Å³ per cell. The calculation puts the energy relative to the lowest polymorph listed for this composition at 0 meV per atom. The value obtained for the uncorrected energy is -4.500 eV/atom.

***

No. 17
Entry from Alexandria: La7Dy3Tm after structural relaxation (PBE-GGA).

```
22
Lattice="9.789 -2.437 2.417 -5.759 8.238 -1.879 3.259 -1.059 12.483" Properties=species:S:1:pos:R:3 pbc="T T T"
La -1.101 6.924 5.077
Dy 5.227 4.672 6.756
La 3.523 1.153 9.778
La 4.049 4.971 12.022
La 3.802 3.733 3.537
La 9.002 1.572 12.973
La 6.366 3.348 9.822
La 9.992 -1.164 11.034
Dy 0.140 0.008 0.096
La 8.219 -1.859 7.730
Tm 2.150 2.883 0.369
La 0.185 3.812 6.122
La -2.573 6.067 1.795
Dy 2.392 4.331 8.916
Dy 5.010 0.555 3.907
Tm 3.092 1.881 6.432
Dy 6.324 -0.649 10.195
La 1.220 1.342 3.344
Dy 0.954 5.486 2.756
La 3.662 -0.334 0.878
La -1.519 3.190 0.358
La 6.802 1.299 6.855
```

As for the formation enthalpy at 0 K: 0.110 eV/atom. Its volume is 777 Å³ per cell. The calculation puts the energy relative to the lowest polymorph listed for this composition at 0 meV per atom. The value obtained for the uncorrected energy is -4.687 eV/atom.

***

No. 18
Entry from Alexandria: La7Dy3Tm2 after structural relaxation (PBE-GGA).

```
12
Lattice="-1.779 -0.639 3.029 5.115 -3.316 2.304 10.258 12.468 8.652" Properties=species:S:1:pos:R:3 pbc="T T T"
Dy 1.668 -1.978 2.667
Dy 4.074 3.811 3.195
La 12.445 6.845 10.854
Tm 5.626 1.774 5.781
La 4.571 0.261 2.739
La 5.506 5.272 6.448
La 0.000 0.000 0.000
La 1.149 1.668 3.130
Dy 11.299 5.341 7.760
La 8.089 3.241 7.536
Tm 7.969 6.739 8.203
La 10.802 8.891 8.216
```

As for the formation enthalpy at 0 K: 0.070 eV/atom. Its volume is 412 Å³ per cell. The value obtained for the uncorrected energy is -4.700 eV/atom.

***

No. 19
Entry from Alexandria: La3Dy4Tm2 after structural relaxation (PBE-GGA).

```
18
Lattice="5.836 1.616 1.157 2.191 11.025 0.625 2.191 4.144 10.236" Properties=species:S:1:pos:R:3 pbc="T T T"
La 2.161 3.846 0.856
La 6.568 7.862 7.604
Dy 4.555 6.014 2.498
Tm 3.145 8.539 7.868
La 5.079 2.858 3.944
Tm 7.072 8.247 4.150
Dy 5.322 5.075 9.094
Dy 1.637 3.494 4.310
Dy 2.404 9.436 1.295
Dy 4.895 11.711 2.924
Dy 8.580 13.291 7.708
Tm 4.154 5.778 5.892
Dy 7.813 7.350 10.723
La 5.138 13.928 8.074
La 8.056 12.939 11.162
La 3.650 8.924 4.414
Dy 5.662 10.772 9.520
Tm 6.063 11.008 6.126
```

As for the formation enthalpy at 0 K: 0.106 eV/atom. Its volume is 592 Å³ per cell. The calculation puts the energy relative to the lowest polymorph listed for this composition at 0 meV per atom. The value obtained for the uncorrected energy is -4.576 eV/atom.